Density functional theory data (SCAN) for a PBEsol-optimized structure of K2AgBr.

Lattice parameters (Å, degrees): 4.6394 4.6394 8.3924 73.95 73.95 60.00
Closest atoms and distances in Å follow each position.
Element x y z (fractional)
Br1 0.0000 0.0000 0.0000  6 K 3.27
Ag1 0.5000 0.5000 0.5000  6 K 3.40
K1 0.7455 0.7455 0.7636  3 Br 3.27, 3 Ag 3.40
K2 0.2545 0.2545 0.2364  3 Br 3.27, 3 Ag 3.40

DFT total energy	-17.741	eV/atom
spin magnetization	0.0	μB/f.u.
formation energy from raw total energies	-870	meV/atom
crystal system	trigonal

---

Density functional theory data (SCAN) for a PBEsol-optimized structure of SrMnV2Ag2O8.

Lattice parameters (Å, degrees): 5.5592 5.6358 13.4837 90.87 90.00 119.55
Closest atoms and distances in Å follow each position.
Element x y z (fractional)
O1 0.7170 0.3249 0.2522  1 V 1.70
Mn1 0.0000 0.0000 0.5000  6 O 2.04-2.19
O2 0.7932 0.2168 0.4451  1 V 1.74
O3 0.5763 0.7832 0.0549  1 V 1.74
O4 0.3922 0.6751 0.2478  1 V 1.70
O5 0.2068 0.7832 0.5549  1 V 1.74
O6 0.0676 0.3082 0.0973  1 V 1.73
Ag1 0.7129 0.3148 0.5978  2 O 2.17-2.22
O7 0.2406 0.3082 0.5973  1 V 1.73
V1 0.7189 0.3506 0.8718  4 O 1.70-1.74
O8 0.6078 0.3249 0.7522  1 V 1.70
O9 0.4237 0.2168 0.9451  1 V 1.74
O10 0.2749 0.1653 0.3847  1 V 1.74
O11 0.1096 0.8347 0.1153  1 V 1.74
Ag2 0.2871 0.6852 0.4022  2 O 2.17-2.22
V2 0.3683 0.6494 0.6282  4 O 1.70-1.74
O12 0.9324 0.6918 0.9027  1 V 1.73
O13 0.2830 0.6751 0.7478  1 V 1.70
O14 0.8904 0.1653 0.8847  1 V 1.74
V3 0.2811 0.6494 0.1282  4 O 1.70-1.74
O15 0.7594 0.6918 0.4027  1 V 1.73
O16 0.7251 0.8347 0.6153  1 V 1.74
Sr1 0.9119 0.0000 0.2500  6 O 2.52-2.58
Sr2 0.0881 0.0000 0.7500  6 O 2.52-2.58
V4 0.6317 0.3506 0.3718  4 O 1.70-1.74
Ag3 0.3981 0.6852 0.9022  2 O 2.17-2.22
Mn2 0.0000 0.0000 0.0000  6 O 2.04-2.19
Ag4 0.6019 0.3148 0.0978  2 O 2.17-2.22

DFT total energy	-15.636	eV/atom
spin magnetization	5.0	μB/f.u.
formation energy from raw total energies	-2201	meV/atom
crystal system	monoclinic

---

Density functional theory data (SCAN) for a PBEsol-optimized structure of BeAlAs2.

Lattice parameters (Å, degrees): 5.3498 5.3498 6.6926 113.56 113.56 90.00
Closest atoms and distances in Å follow each position.
Element x y z (fractional)
Al1 0.0000 0.0000 0.0000  4 As 2.46
As1 0.4112 0.8750 0.2500  2 Be 2.24, 2 Al 2.46
As2 0.1250 0.1612 0.7500  2 Be 2.24, 2 Al 2.46
As3 0.8388 0.3750 0.2500  2 Be 2.24, 2 Al 2.46
Be1 0.5000 0.5000 0.0000  4 As 2.24
Be2 0.7500 0.2500 0.5000  4 As 2.24
Al2 0.2500 0.7500 0.5000  4 As 2.46
As4 0.6250 0.5888 0.7500  2 Be 2.24, 2 Al 2.46

DFT total energy	-13.356	eV/atom
energy of formation	-5.41	kcal/mol of atoms
spin magnetization	0.0	μB/f.u.
crystal system	tetragonal

---

Density functional theory data (SCAN) for a PBEsol-optimized structure of CaYGa2Sn.

Lattice parameters (Å, degrees): 5.1161 5.1161 5.4388 90.00 90.00 90.00
Closest atoms and distances in Å follow each position.
Element x y z (fractional)
Ca1 0.0000 0.0000 0.0000  4 Ga 2.56, 2 Sn 2.72
Ga1 0.0000 0.5000 0.0000  2 Ca 2.56
Sn1 0.0000 0.0000 0.5000  2 Ca 2.72
Ga2 0.5000 0.0000 0.0000  2 Ca 2.56
Y1 0.5000 0.5000 0.5000  4 Sn 3.62, 8 Ga 3.73

DFT total energy	-20.837	eV/atom
energy of formation	8.93	kcal/mol of atoms
spin magnetization	0.0	μB/f.u.
crystal system	tetragonal

---

Density functional theory data (SCAN) for a PBEsol-optimized structure of Li3Ag.

Lattice parameters (Å, degrees): 2.8467 4.6290 4.9718 90.00 90.00 90.00
Closest atoms and distances in Å follow each position.
Element x y z (fractional)
Li1 0.5000 0.5000 0.8409  8 Li 2.75-2.98, 4 Ag 2.84
Ag1 0.0000 0.0000 0.0044  10 Li 2.78-2.88, 2 Ag 2.85
Li2 0.5000 0.0000 0.5072  8 Li 2.85-2.88, 4 Ag 2.85-2.88
Li3 0.0000 0.5000 0.3141  10 Li 2.75-2.98, 2 Ag 2.78

DFT total energy	-9.755	eV/atom
energy of formation	-2.79	kcal/mol of atoms
spin magnetization	0.0	μB/f.u.
crystal system	orthorhombic

---

Density functional theory data (SCAN) for a PBEsol-optimized structure of ZrBeRe.

Lattice parameters (Å, degrees): 2.7780 2.7780 6.7750 90.00 90.00 120.00
Closest atoms and distances in Å follow each position.
Element x y z (fractional)
Be1 0.0000 0.0000 0.9786  3 Re 2.48
Re1 0.6667 0.3333 0.6997  3 Be 2.48
Zr1 0.3333 0.6667 0.3217  6 Zr 2.78, 3 Be 2.82, 3 Re 3.02

DFT total energy	-35.066	eV/atom
energy of formation	7.31	kcal/mol of atoms
spin magnetization	0.0	μB/f.u.
crystal system	trigonal

---

Density functional theory data (SCAN) for a PBEsol-optimized structure of Sc11Ir4.

Lattice parameters (Å, degrees): 9.3410 9.3410 9.3410 60.00 60.00 60.00
Closest atoms and distances in Å follow each position.
Element x y z (fractional)
Sc1 0.8530 0.3823 0.3823  4 Ir 2.69-2.92
Sc2 0.6177 0.6177 0.6177  4 Ir 2.69-2.92
Ir1 0.5000 0.0000 0.5000  8 Sc 2.71-2.92
Sc3 0.6177 0.1470 0.6177  4 Ir 2.69-2.92
Ir2 0.0000 0.0000 0.5000  8 Sc 2.71-2.92
Ir3 0.0000 0.0000 0.0000  6 Sc 2.62
Ir4 0.0000 0.5000 0.5000  8 Sc 2.71-2.92
Sc4 0.8014 0.8014 0.1986  1 Ir 2.62
Sc5 0.8433 0.4700 0.8433  3 Ir 2.71, 3 Sc 2.98
Sc6 0.3823 0.3823 0.3823  4 Ir 2.69-2.92
Sc7 0.3823 0.3823 0.8530  4 Ir 2.69-2.92
Ir5 0.5000 0.5000 0.5000  8 Sc 2.69
Sc8 0.1470 0.6177 0.6177  4 Ir 2.69-2.92
Sc9 0.6177 0.6177 0.1470  4 Ir 2.69-2.92
Sc10 0.1986 0.8014 0.1986  1 Ir 2.62
Sc11 0.1567 0.5300 0.1567  3 Ir 2.71, 3 Sc 2.98
Ir6 0.0000 0.5000 0.0000  8 Sc 2.71-2.92
Sc12 0.8433 0.8433 0.8433  3 Ir 2.71, 3 Sc 2.98
Sc13 0.3823 0.8530 0.3823  4 Ir 2.69-2.92
Sc14 0.8433 0.8433 0.4700  3 Ir 2.71, 3 Sc 2.98
Sc15 0.1567 0.1567 0.5300  3 Ir 2.71, 3 Sc 2.98
Ir7 0.5000 0.5000 0.0000  8 Sc 2.71-2.92
Sc16 0.1986 0.8014 0.8014  1 Ir 2.62
Sc17 0.8014 0.1986 0.8014  1 Ir 2.62
Sc18 0.4700 0.8433 0.8433  3 Ir 2.71, 3 Sc 2.98
Sc19 0.1567 0.1567 0.1567  3 Ir 2.71, 3 Sc 2.98
Ir8 0.5000 0.0000 0.0000  8 Sc 2.71-2.92
Sc20 0.1986 0.1986 0.8014  1 Ir 2.62
Sc21 0.5300 0.1567 0.1567  3 Ir 2.71, 3 Sc 2.98
Sc22 0.8014 0.1986 0.1986  1 Ir 2.62

DFT total energy	-30.243	eV/atom
energy of formation	-19.44	kcal/mol of atoms
spin magnetization	0.0	μB/f.u.
crystal system	cubic

---

Density functional theory data (SCAN) for a PBEsol-optimized structure of MnGe2WBr.

Lattice parameters (Å, degrees): 4.5151 4.5151 4.8747 90.00 90.00 90.00
Closest atoms and distances in Å follow each position.
Element x y z (fractional)
Mn1 0.0000 0.0000 0.0000  4 Ge 2.26, 2 Br 2.44
Ge1 0.5000 0.0000 0.0000  2 Mn 2.26
Ge2 0.0000 0.5000 0.0000  2 Mn 2.26
W1 0.5000 0.5000 0.5000  4 Br 3.19, 8 Ge 3.32
Br1 0.0000 0.0000 0.5000  2 Mn 2.44

DFT total energy	-27.769	eV/atom
spin magnetization	6.1	μB/f.u.
formation energy from raw total energies	1347	meV/atom
crystal system	tetragonal

---

Density functional theory data (SCAN) for a PBEsol-optimized structure of MgSc2.

Lattice parameters (Å, degrees): 3.1684 6.1634 7.6615 104.47 90.00 104.89
Closest atoms and distances in Å follow each position.
Element x y z (fractional)
Mg1 0.9977 0.9953 0.9983  8 Sc 3.14-3.28, 4 Mg 3.17-3.19
Sc1 0.3829 0.7658 0.2856  7 Sc 3.12-3.23, 5 Mg 3.15-3.28
Mg2 0.6628 0.3256 0.3276  8 Sc 3.15-3.30, 4 Mg 3.17-3.19
Sc2 0.0595 0.1190 0.6118  9 Sc 3.17-3.23, 3 Mg 3.19-3.23
Sc3 0.3372 0.6745 0.6692  8 Sc 3.12-3.22, 4 Mg 3.17-3.30
Sc4 0.7265 0.4531 0.9409  4 Mg 3.14-3.28, 8 Sc 3.16-3.23

DFT total energy	-11.117	eV/atom
energy of formation	0.74	kcal/mol of atoms
spin magnetization	1.0	μB/f.u.
crystal system	monoclinic

---

Density functional theory data (SCAN) for a PBEsol-optimized structure of ZnCr3I.

Lattice parameters (Å, degrees): 4.8680 4.8680 4.8680 90.00 90.00 90.00
Closest atoms and distances in Å follow each position.
Element x y z (fractional)
Cr1 0.5000 0.0000 0.0000  2 I 2.43
Cr2 0.0000 0.0000 0.5000  2 I 2.43
I1 0.0000 0.0000 0.0000  6 Cr 2.43
Cr3 0.0000 0.5000 0.0000  2 I 2.43
Zn1 0.5000 0.5000 0.5000  12 Cr 3.44

DFT total energy	-19.692	eV/atom
spin magnetization	11.8	μB/f.u.
formation energy from raw total energies	1390	meV/atom
crystal system	cubic

---

Density functional theory data (SCAN) for a PBEsol-optimized structure of LaHf3F.

Lattice parameters (Å, degrees): 4.6710 4.6710 4.6710 90.00 90.00 90.00
Closest atoms and distances in Å follow each position.
Element x y z (fractional)
Hf1 0.0000 0.5000 0.0000  2 F 2.34
Hf2 0.0000 0.0000 0.5000  2 F 2.34
Hf3 0.5000 0.0000 0.0000  2 F 2.34
F1 0.0000 0.0000 0.0000  6 Hf 2.34
La1 0.5000 0.5000 0.5000  12 Hf 3.30

DFT total energy	-47.327	eV/atom
spin magnetization	0.0	μB/f.u.
formation energy from raw total energies	-394	meV/atom
crystal system	cubic

---

Density functional theory data (SCAN) for a PBEsol-optimized structure of MnCd2As.

Lattice parameters (Å, degrees): 4.0075 4.0075 4.5233 90.00 90.00 90.00
Closest atoms and distances in Å follow each position.
Element x y z (fractional)
Cd1 0.5000 0.0000 0.0000  4 Cd 2.83, 4 As 3.02, 4 Mn 3.02
Mn1 0.5000 0.5000 0.5000  4 As 2.83, 8 Cd 3.02
Cd2 0.0000 0.5000 0.0000  4 Cd 2.83, 4 Mn 3.02, 4 As 3.02
As1 0.0000 0.0000 0.5000  4 Mn 2.83, 8 Cd 3.02

DFT total energy	-24.800	eV/atom
energy of formation	0.42	kcal/mol of atoms
spin magnetization	4.0	μB/f.u.
crystal system	tetragonal